1.
The following is a GGA-PBE calculation of Pr3Tm7Sc after structural relaxation, from Alexandria.

a b c (Å): 6.9745 6.9745 8.5809
angles (deg): 90.00 90.00 120.00
With the nearest neighbours (Å) after each atom.
Space group P3m1 (No. 156)
Symmetry-distinct sites (fractional):
Pr  0.0015  0.5008  0.0000  4 Pr 3.47-3.50, 5 Tm 3.52-3.57, 1 Sc 3.53
Tm  0.1681  0.3362  0.6556  1 Sc 3.37, 8 Tm 3.40-3.52, 2 Pr 3.57
Tm  0.3349  0.1675  0.3368  7 Tm 3.40-3.50, 2 Sc 3.49, 2 Pr 3.52
Tm  0.6667  0.3333  0.6580  9 Tm 3.41-3.49, 3 Pr 3.56
Sc  0.3333  0.6667  0.3392  9 Tm 3.37-3.49, 3 Pr 3.53

Its energy is -4.545 eV per atom.

---

2.
The following is a GGA-PBE calculation of Pr8Tm3Sc after structural relaxation, from Alexandria.

a b c (Å): 8.7138 8.7138 11.7529
angles (deg): 90.00 90.00 90.00
With the nearest neighbours (Å) after each atom.
Space group I-42m (No. 121)
Symmetry-distinct sites (fractional):
Pr  0.1269  0.1269  0.2427  3 Pr 3.13-3.38, 1 Sc 3.25, 3 Tm 3.40-3.44
Pr  0.2399  0.2399  0.9806  1 Sc 2.97, 1 Tm 3.21, 1 Pr 3.24
Tm  0.0000  0.0000  0.5000  8 Pr 3.21-3.40
Tm  0.0000  0.5000  0.2500  4 Pr 3.44
Sc  0.0000  0.0000  0.0000  8 Pr 2.97-3.25

Its energy is -4.284 eV per atom.

---

3.
The following is a GGA-PBE calculation of PrTm2Sc5 after structural relaxation, from Alexandria.

a b c (Å): 6.8088 6.8088 9.3174
angles (deg): 90.00 90.00 90.00
With the nearest neighbours (Å) after each atom.
Space group I4mm (No. 107)
Symmetry-distinct sites (fractional):
Pr  0.0000  0.0000  0.0000  8 Sc 3.35, 4 Tm 3.40
Tm  0.0000  0.5000  0.9995  10 Sc 3.35-3.40, 2 Pr 3.40
Sc  0.0000  0.0000  0.4992  8 Sc 3.35, 4 Tm 3.40
Sc  0.2502  0.2502  0.2496  2 Pr 3.35, 6 Sc 3.35-3.41, 4 Tm 3.35

Its energy is -5.611 eV per atom.

---

4.
The following is a GGA-PBE calculation of Pr2YTmSc after structural relaxation, from Alexandria.

a b c (Å): 6.5060 15.7603 6.5083
angles (deg): 90.00 90.00 90.00
With the nearest neighbours (Å) after each atom.
Space group Cmcm (No. 63)
Symmetry-distinct sites (fractional):
Pr  0.2486  0.0000  0.0000  4 Pr 3.24-3.27, 2 Sc 3.35, 2 Tm 3.42
Y  0.0000  0.2501  0.2500  4 Tm 3.55, 4 Sc 3.58
Tm  0.0000  0.3400  0.7500  1 Sc 2.92
Sc  0.0000  0.1548  0.7500  1 Tm 2.92

Its energy is -4.994 eV per atom.

---

5.
The following is a GGA-PBE calculation of PrY2TmSc after structural relaxation, from Alexandria.

a b c (Å): 6.3679 15.9949 6.3582
angles (deg): 90.00 90.00 90.00
With the nearest neighbours (Å) after each atom.
Space group Cmcm (No. 63)
Symmetry-distinct sites (fractional):
Pr  0.0000  0.1633  0.2500  1 Sc 2.92
Y  0.2481  0.5000  0.0000  4 Y 3.16-3.21, 2 Sc 3.34, 2 Pr 3.45
Tm  0.0000  0.2512  0.7500  4 Pr 3.47-3.48, 4 Sc 3.52-3.54
Sc  0.0000  0.3456  0.2500  1 Pr 2.92

Its energy is -5.319 eV per atom.

---

6.
The following is a GGA-PBE calculation of Pr2Y3Tm6Sc after structural relaxation, from Alexandria.

a b c (Å): 6.1069 10.5719 11.7031
angles (deg): 90.00 99.98 90.00
With the nearest neighbours (Å) after each atom.
Space group C2/m (No. 12)
Symmetry-distinct sites (fractional):
Pr  0.0000  0.1665  0.0000  3 Pr 3.52-3.53, 3 Sc 3.52-3.53, 6 Tm 3.53
Y  0.0000  0.0000  0.5000  6 Y 3.52-3.53, 6 Tm 3.52-3.54
Y  0.0000  0.3337  0.5000  6 Y 3.52-3.53, 6 Tm 3.52-3.54
Tm  0.2469  0.5000  0.7498  6 Tm 3.49-3.54, 1 Sc 3.52, 3 Y 3.52-3.54, 2 Pr 3.53
Tm  0.2482  0.3349  0.2499  6 Tm 3.49-3.54, 1 Sc 3.52, 3 Y 3.52-3.54, 2 Pr 3.53
Sc  0.0000  0.5000  0.0000  6 Tm 3.52, 6 Pr 3.52-3.53

Its energy is -5.142 eV per atom.

---

7.
The following is a GGA-PBE calculation of Pr3Y6TmSc2 after structural relaxation, from Alexandria.

a b c (Å): 6.1707 10.6894 11.7119
angles (deg): 90.00 100.12 90.00
With the nearest neighbours (Å) after each atom.
Space group C2/m (No. 12)
Symmetry-distinct sites (fractional):
Pr  0.0000  0.0000  0.0000  6 Pr 3.56, 6 Y 3.63-3.64
Pr  0.0000  0.3332  0.0000  6 Pr 3.56-3.57, 6 Y 3.63-3.64
Y  0.2444  0.0000  0.7397  2 Sc 3.44, 1 Tm 3.45, 6 Y 3.55-3.59, 3 Pr 3.63-3.64
Y  0.2480  0.3322  0.7397  2 Sc 3.44, 1 Tm 3.45, 6 Y 3.55-3.59, 3 Pr 3.63-3.64
Tm  0.0000  0.5000  0.5000  6 Y 3.45, 6 Sc 3.56
Sc  0.0000  0.1667  0.5000  6 Y 3.44, 3 Sc 3.56, 3 Tm 3.56

Its energy is -5.809 eV per atom.

---

8.
The following is a GGA-PBE calculation of Pr2Y5TmSc after structural relaxation, from Alexandria.

a b c (Å): 8.4882 8.4882 16.0306
angles (deg): 90.00 90.00 90.00
With the nearest neighbours (Å) after each atom.
Space group I4/mcm (No. 140)
Symmetry-distinct sites (fractional):
Pr  0.1208  0.3792  0.0000  1 Pr 2.90, 2 Y 3.07
Y  0.0000  0.0000  0.0000  4 Pr 3.38
Y  0.2115  0.2885  0.3559  1 Sc 3.05, 1 Pr 3.07
Tm  0.0000  0.0000  0.2500  8 Y 3.48
Sc  0.0000  0.5000  0.2500  4 Y 3.05

Its energy is -5.591 eV per atom.

---

9.
The following is a GGA-PBE calculation of Pr2Y6TmSc3 after structural relaxation, from Alexandria.

a b c (Å): 6.1089 10.5809 11.5782
angles (deg): 90.00 100.13 90.00
With the nearest neighbours (Å) after each atom.
Space group C2/m (No. 12)
Symmetry-distinct sites (fractional):
Pr  0.0000  0.1669  0.0000  3 Pr 3.52-3.53, 3 Tm 3.52-3.53, 6 Y 3.61
Y  0.2451  0.5000  0.7388  3 Sc 3.39-3.40, 6 Y 3.52-3.53, 1 Tm 3.60, 2 Pr 3.61
Y  0.2467  0.1662  0.7384  3 Sc 3.39-3.40, 6 Y 3.52-3.53, 1 Tm 3.61, 2 Pr 3.61
Tm  0.0000  0.5000  0.0000  6 Pr 3.52-3.53, 6 Y 3.60-3.61
Sc  0.0000  0.0000  0.5000  6 Y 3.39-3.40, 6 Sc 3.52-3.53
Sc  0.0000  0.3340  0.5000  6 Y 3.39-3.40, 6 Sc 3.51-3.53

Its energy is -5.932 eV per atom.

---

10.
The following is a GGA-PBE calculation of PrY5Tm2Sc after structural relaxation, from Alexandria.

a b c (Å): 5.5990 20.9640 9.7982
angles (deg): 90.00 90.00 90.00
With the nearest neighbours (Å) after each atom.
Space group Cmc2_1 (No. 36)
Symmetry-distinct sites (fractional):
Pr  0.0000  0.1042  0.0000  2 Y 3.02-3.20
Y  0.0000  0.0221  0.6842  2 Pr 3.20-3.54, 2 Tm 3.41, 3 Y 3.58
Y  0.0000  0.1255  0.3936  4 Tm 3.35-3.51, 3 Y 3.43-3.71
Y  0.0000  0.1940  0.7113  2 Sc 3.33, 1 Pr 3.40, 5 Y 3.41-3.61, 3 Tm 3.49-3.70
Y  0.0000  0.2455  0.0610  1 Pr 3.02, 1 Tm 3.12
Y  0.0000  0.4835  0.4109  2 Tm 3.23-3.54, 2 Pr 3.46, 2 Y 3.58
Tm  0.0000  0.3703  0.7066  1 Sc 3.30, 4 Y 3.35-3.70, 2 Pr 3.50
Tm  0.0000  0.3926  0.1068  6 Y 3.12-3.49, 1 Sc 3.32
Sc  0.0000  0.3094  0.3955  2 Tm 3.30-3.32, 6 Y 3.33-3.65, 2 Pr 3.49

Its energy is -5.654 eV per atom.

---

11.
The following is a GGA-PBE calculation of PrYTm3Sc after structural relaxation, from Alexandria.

a b c (Å): 19.3892 5.4480 7.2651
angles (deg): 90.00 91.28 90.00
With the nearest neighbours (Å) after each atom.
Space group C2/m (No. 12)
Symmetry-distinct sites (fractional):
Pr  0.1382  0.0000  0.4670  1 Y 3.07, 2 Tm 3.25-3.29
Y  0.1552  0.0000  0.0483  1 Pr 3.07, 6 Tm 3.17-3.40, 2 Sc 3.41
Tm  0.0227  0.0000  0.7845  1 Y 3.17, 2 Sc 3.18, 1 Pr 3.25, 1 Tm 3.27
Tm  0.1633  0.5000  0.7772  3 Y 3.37-3.71, 1 Sc 3.51, 3 Tm 3.54-3.72, 2 Pr 3.56
Tm  0.2217  0.5000  0.2689  1 Sc 3.21, 3 Pr 3.29-3.50, 3 Y 3.35-3.40, 2 Tm 3.54
Sc  0.0598  0.5000  0.1669  4 Tm 3.18-3.51, 1 Sc 3.32, 2 Y 3.41

Its energy is -4.912 eV per atom.

---

12.
The following is a GGA-PBE calculation of Pr2YTm4Sc after structural relaxation, from Alexandria.

a b c (Å): 5.0178 5.0178 9.8783
angles (deg): 90.00 90.00 90.00
With the nearest neighbours (Å) after each atom.
Space group P4/mmm (No. 123)
Symmetry-distinct sites (fractional):
Pr  0.0000  0.0000  0.0000  8 Tm 3.48, 4 Sc 3.55
Pr  0.5000  0.5000  0.5000  4 Y 3.55, 8 Tm 3.56
Y  0.0000  0.0000  0.5000  4 Pr 3.55, 8 Tm 3.56
Tm  0.0000  0.5000  0.2445  2 Sc 3.48, 4 Pr 3.48-3.56, 4 Tm 3.55, 2 Y 3.56
Sc  0.5000  0.5000  0.0000  8 Tm 3.48, 4 Pr 3.55

Its energy is -4.988 eV per atom.